(1)
Entry from Alexandria: a relaxed structure of SrScTl (PBE).

a b c (Å): 6.904 4.926 6.566
angles (deg): 90.00 61.61 90.00
Fractional coordinates of all 6 atoms:
Sc  0.621  0.111  0.818
Sr  0.044  0.111  0.215
Sr  0.044  0.611  0.732
Tl  0.462  0.611  0.131
Sc  0.467  0.111  0.395
Tl  0.626  0.611  0.549

Properties
Calculated formation energy ... -0.142 eV per atom
E ... -3.60 eV/atom
Total moment ... 0.000 μB per atom

---

(2)
Entry from Alexandria: a relaxed structure of SrSc2Tl (PBE).

a b c (Å): 11.012 11.012 11.012
angles (deg): 18.73 18.73 18.73
Fractional coordinates of all 4 atoms:
Sc  0.013  0.013  0.013
Sr  0.250  0.250  0.250
Tl  0.750  0.750  0.750
Sc  0.487  0.487  0.487

Properties
Calculated formation energy ... 0.138 eV per atom
Polymorph energy (0 for the lowest one) ... 200 meV/atom
E ... -4.04 eV/atom
Total moment ... 0.000 μB per atom

---

(3)
Entry from Alexandria: a relaxed structure of SrScTl2 (PBE).

a b c (Å): 3.732 3.732 8.893
angles (deg): 90.00 90.00 90.27
Fractional coordinates of all 4 atoms:
Tl  0.500  0.500  0.260
Sr  0.500  0.500  0.757
Sc  0.000  0.000  0.449
Tl  0.000  0.000  0.033

Properties
Calculated formation energy ... -0.020 eV per atom
E ... -3.21 eV/atom
Total moment ... 0.126 μB per atom

---

(4)
Entry from Alexandria: a relaxed structure of SrSc2Tl (PBE).

a b c (Å): 4.596 3.533 7.980
angles (deg): 63.59 90.00 90.00
Fractional coordinates of all 4 atoms:
Sr  0.000  0.487  0.512
Sc  0.500  0.300  0.200
Tl  0.500  0.714  0.785
Sc  0.000  0.998  0.003

Properties
Calculated formation energy ... -0.028 eV per atom
Polymorph energy (0 for the lowest one) ... 34 meV/atom
E ... -4.21 eV/atom
Total moment ... 0.151 μB per atom

---

(5)
Entry from Alexandria: a relaxed structure of SrSc2Tl2 (PBE).

a b c (Å): 8.948 8.948 3.360
angles (deg): 90.00 90.00 90.00
Fractional coordinates of all 10 atoms:
Sr  0.500  0.500  0.000
Sc  0.620  0.120  0.000
Tl  0.823  0.323  0.500
Sc  0.380  0.880  0.000
Tl  0.323  0.177  0.500
Sr  0.000  0.000  0.000
Sc  0.120  0.380  0.000
Tl  0.177  0.677  0.500
Sc  0.880  0.620  0.000
Tl  0.677  0.823  0.500

Properties
Calculated formation energy ... -0.209 eV per atom
Polymorph energy (0 for the lowest one) ... 0 meV/atom
E ... -4.02 eV/atom
Total moment ... 0.149 μB per atom

---

(6)
Entry from Alexandria: a relaxed structure of SrScTl (PBE).

a b c (Å): 5.319 9.135 5.322
angles (deg): 125.60 60.02 106.92
Fractional coordinates of all 6 atoms:
Tl  0.316  0.636  0.501
Sc  0.649  0.857  0.056
Sr  0.316  0.114  0.978
Sc  0.982  0.667  0.199
Tl  0.982  0.065  0.596
Sr  0.649  0.378  0.576

Properties
Calculated formation energy ... -0.161 eV per atom
E ... -3.62 eV/atom
Total moment ... 0.000 μB per atom

---

(7)
Entry from Alexandria: a relaxed structure of SrSc2Tl2 (PBE).

a b c (Å): 4.686 4.686 7.541
angles (deg): 71.90 71.90 90.00
Fractional coordinates of all 5 atoms:
Tl  0.390  0.390  0.221
Sc  0.250  0.750  0.500
Sr  0.000  0.000  0.000
Sc  0.750  0.250  0.500
Tl  0.610  0.610  0.779

Properties
Calculated formation energy ... -0.167 eV per atom
Polymorph energy (0 for the lowest one) ... 42 meV/atom
E ... -3.98 eV/atom
Total moment ... 0.017 μB per atom

---

(8)
Entry from Alexandria: a relaxed structure of SrScTl2 (PBE).

a b c (Å): 5.470 8.632 3.822
angles (deg): 63.85 89.91 129.42
Fractional coordinates of all 4 atoms:
Tl  0.000  0.000  0.000
Tl  0.000  0.500  0.500
Sc  0.500  0.500  0.000
Sr  0.500  0.000  0.500

Properties
Calculated formation energy ... -0.218 eV per atom
E ... -3.40 eV/atom
Total moment ... 0.000 μB per atom

---

(9)
Entry from Alexandria: a relaxed structure of SrScTl4 (PBE).

a b c (Å): 6.328 6.328 6.328
angles (deg): 60.00 60.00 60.00
Fractional coordinates of all 6 atoms:
Sc  0.750  0.750  0.750
Tl  0.376  0.873  0.376
Tl  0.376  0.376  0.376
Tl  0.376  0.376  0.873
Sr  0.000  0.000  0.000
Tl  0.873  0.376  0.376

Properties
Calculated formation energy ... -0.008 eV per atom
E ... -2.92 eV/atom
Total moment ... 0.000 μB per atom

---

(10)
Entry from Alexandria: a relaxed structure of SrScTl (PBE).

a b c (Å): 4.807 6.497 7.414
angles (deg): 90.98 108.92 111.70
Fractional coordinates of all 6 atoms:
Sr  0.506  0.480  0.222
Tl  0.285  0.670  0.590
Sr  0.980  0.092  0.558
Sc  0.856  0.584  0.818
Sc  0.630  0.988  0.962
Tl  0.201  0.902  0.190

Properties
Calculated formation energy ... -0.113 eV per atom
E ... -3.57 eV/atom
Total moment ... 0.288 μB per atom

---

(11)
Entry from Alexandria: a relaxed structure of SrSc2Tl (PBE).

a b c (Å): 5.154 3.589 6.610
angles (deg): 76.31 90.00 90.00
Fractional coordinates of all 4 atoms:
Sr  0.500  0.250  0.250
Tl  0.500  0.750  0.750
Sc  0.000  0.917  0.956
Sc  0.000  0.583  0.544

Properties
Calculated formation energy ... 0.059 eV per atom
Polymorph energy (0 for the lowest one) ... 121 meV/atom
E ... -4.12 eV/atom
Total moment ... 0.011 μB per atom

---

(12)
Entry from Alexandria: a relaxed structure of SrScTl (PBE).

a b c (Å): 6.391 3.774 8.947
angles (deg): 102.21 106.05 107.16
Fractional coordinates of all 6 atoms:
Tl  0.944  0.566  0.400
Sr  0.964  0.922  0.092
Tl  0.444  0.066  0.900
Sc  0.368  0.344  0.531
Sc  0.519  0.789  0.270
Sr  0.923  0.211  0.709

Properties
Calculated formation energy ... -0.036 eV per atom
E ... -3.50 eV/atom
Total moment ... 0.233 μB per atom